## Pm4BSBr2 (PBE-GGA)

Data for an optimized crystal structure of Pm4BSBr2.

Summary:
- N(E_F) (states/eV/f.u.) = 2.68
- formation energy (no corrections) (kcal/mol of atoms) = -28.894

Unit cell a=7.0045 b=4.0110 c=7.6404 alpha=90.00 beta=107.75 gamma=90.00
Space group P2/m (No. 10)
Inequivalent atoms, fractional coordinates:
Pm1 0.2129 0.0000 0.1930 [2 per cell]
Pm2 0.2471 0.5000 0.8045 [2 per cell]
B1 0.0000 0.5000 0.0000 [1 per cell]
S1 0.5000 0.0000 0.0000 [1 per cell]
Br1 0.0000 0.0000 0.5000 [1 per cell]
Br2 0.5000 0.5000 0.5000 [1 per cell]

## Pm6B2SBr3 (PBE-GGA)

Data for an optimized crystal structure of Pm6B2SBr3.

Summary:
- N(E_F) (states/eV/f.u.) = 5.38
- formation energy (no corrections) (kcal/mol of atoms) = -25.577

Unit cell a=6.9217 b=11.9901 c=7.6855 alpha=90.00 beta=107.48 gamma=90.00
Space group C2/m (No. 12)
Inequivalent atoms, fractional coordinates:
Pm1 0.2135 0.0000 0.1933 [4 per cell]
Pm2 0.2402 0.3246 0.1940 [8 per cell]
B1 0.0000 0.1667 0.0000 [4 per cell]
S1 0.0000 0.5000 0.0000 [2 per cell]
Br1 0.0000 0.0000 0.5000 [2 per cell]
Br2 0.0000 0.3344 0.5000 [4 per cell]

## Pm4BSeBr2 (PBE-GGA)

Data for an optimized crystal structure of Pm4BSeBr2.

Summary:
- N(E_F) (states/eV/f.u.) = 2.82
- formation energy (no corrections) (kcal/mol of atoms) = -27.459

Unit cell a=7.2580 b=4.0518 c=7.5818 alpha=90.00 beta=107.94 gamma=90.00
Space group P2/m (No. 10)
Inequivalent atoms, fractional coordinates:
Pm1 0.2047 0.0000 0.1949 [2 per cell]
Pm2 0.2318 0.5000 0.7972 [2 per cell]
B1 0.0000 0.5000 0.0000 [1 per cell]
Se1 0.5000 0.0000 0.0000 [1 per cell]
Br1 0.0000 0.0000 0.5000 [1 per cell]
Br2 0.5000 0.5000 0.5000 [1 per cell]

Q: Which VASP energy values were calculated for the entries above? A: -5.40; -5.36; -5.25, in eV per atom.
Q: Which total magnetic moment values were calculated for the entries above? A: 0.00; 0.00; 0.00, in Bohr magnetons per cell.